The following is a PBE calculation of a relaxed structure of NaSm9Si6S2O24, from Alexandria via LeMat-Bulk.

Geometry as extended XYZ:
```
84
Lattice="-6.021 2.962 0.653 -2.952 -4.120 -8.531 -5.804 -13.698 8.620" Properties=species:S:1:pos:R:3 pbc="T T T"
O -3.132 -1.874 1.026
O -10.416 -8.284 -1.686
O -4.998 -6.038 2.452
O -6.136 -7.152 -2.786
O -8.503 -6.015 -2.637
Sm -3.413 -3.853 3.015
Si -8.364 -10.531 5.444
Sm -9.954 -4.617 -1.296
O -8.354 -8.434 -4.155
O -8.646 -14.354 -0.577
Sm -6.900 -2.158 -2.351
O -7.861 -3.677 -0.232
O -8.090 -1.082 -0.468
Sm -2.312 -3.278 -6.338
O -9.889 -10.796 6.042
Sm -8.093 -8.347 -1.794
Sm -9.402 -6.454 -5.152
Sm -7.807 -12.729 3.096
O -8.581 -10.492 3.787
O -6.274 -4.426 -2.499
O -6.752 -13.959 1.399
O -7.889 -2.687 -4.885
O -7.067 -5.747 -4.799
O -7.563 -11.968 5.682
O -5.578 -12.013 3.142
O -9.812 -13.207 4.424
O -5.231 -9.642 -4.353
S -8.830 -6.653 0.512
Sm -5.370 -12.362 6.627
O -5.705 -9.252 3.299
Si -6.940 -5.742 -3.131
O -7.972 -0.203 -3.413
O -2.237 -1.245 -2.143
Si -10.530 -14.500 3.643
Na -3.981 -3.577 -2.656
Si -6.125 -5.605 3.595
Si -8.626 -2.358 0.410
Na -11.296 -11.041 -2.293
O -3.452 -7.917 4.518
O -9.459 -7.433 3.497
Sm -10.708 -14.121 0.522
O -10.159 -4.270 -4.783
Si -4.733 -2.023 0.607
O -9.235 -2.905 -2.659
S -10.277 -17.005 0.238
O -5.243 -3.353 1.483
O -12.427 -12.665 -0.047
Sm -1.106 -2.165 -0.203
O -9.245 -11.071 -0.943
Sm -6.348 -3.921 -6.143
Si -9.418 -2.898 -4.288
O -7.352 -4.896 2.733
Sm -9.491 -13.150 6.779
O -12.654 -11.481 4.873
Si -7.290 1.081 -2.657
Si -5.672 -10.778 -3.262
Sm -7.808 -8.693 2.437
O -6.029 0.456 -1.787
S -4.542 2.171 0.512
O -7.618 -9.255 6.067
O -4.690 -10.632 5.269
O -4.193 -5.653 -0.510
O -9.828 -9.643 1.322
O -7.487 -10.832 1.152
O -5.241 -1.983 -4.020
Sm -9.739 -5.114 2.889
Sm -10.869 -11.248 3.394
S -5.903 -8.222 0.230
O -4.992 -2.101 -0.974
O -11.738 -13.785 2.753
O -5.488 -0.752 1.365
O -9.653 -12.246 1.531
O -8.337 -2.117 2.001
O -6.515 -12.920 -1.069
O -6.579 -6.815 4.546
Sm -5.440 -8.366 5.911
Sm -6.261 -5.246 0.470
Si -7.044 -14.199 -0.192
O -4.193 -4.533 -5.495
Si -9.064 -10.955 0.647
O -6.762 -10.246 -2.138
O -9.392 -14.955 2.524
Si -4.857 -10.632 3.638
Sm -11.475 -8.127 0.492
```

Computed properties:
Space-group type: Pc (7)
D(E_F) in states/eV/cell: 0.00


The following is a PBE calculation of a relaxed structure of NaSnS2O8, from Alexandria via LeMat-Bulk.

Geometry as extended XYZ:
```
12
Lattice="-2.629 -2.698 -3.311 4.994 -0.422 0.177 -0.683 -5.857 5.314" Properties=species:S:1:pos:R:3 pbc="T T T"
O 0.344 -2.982 0.500
O 1.338 -5.994 1.680
O 1.816 -6.645 3.972
O 1.222 -4.338 3.490
Sn -0.341 -2.928 2.657
O -1.714 -3.743 -0.603
O -0.134 -2.331 -1.792
S 1.941 -5.570 2.997
O 3.397 -5.234 2.783
Na 0.000 0.000 0.000
S -0.259 -3.407 -0.817
O 0.460 -4.638 -1.310
```

Computed properties:
Space-group type: P-3 (147)
D(E_F) in states/eV/cell: 2.63


The following is a PBE calculation of a relaxed structure of Na2SnS3O7, from Alexandria via LeMat-Bulk.

Geometry as extended XYZ:
```
26
Lattice="8.867 -0.259 -1.032 2.155 6.148 -0.609 1.445 2.098 8.737" Properties=species:S:1:pos:R:3 pbc="T T T"
S 10.397 4.855 7.455
O 7.668 1.821 3.916
O 2.712 2.056 8.557
S 8.883 3.187 3.346
S 3.584 4.799 3.751
O 4.147 4.456 5.101
O 6.115 5.747 3.321
O 5.973 7.026 6.201
O 9.756 5.931 -1.461
O 4.799 6.166 3.181
O 5.239 4.499 -0.213
O 3.858 3.669 2.818
Sn 9.023 0.801 0.491
Na 8.260 6.045 2.368
Na 5.903 3.285 1.583
O 8.609 4.318 4.278
S 6.385 7.679 7.558
Na 6.564 4.702 5.513
Na 4.207 1.942 4.728
S 6.082 0.308 -0.462
S 2.070 3.132 -0.359
O 6.494 0.961 0.895
O 7.229 3.487 7.309
O 8.321 3.531 1.995
Sn 3.444 7.186 6.605
O 6.352 2.240 3.775
```

Computed properties:
Space-group type: P-1 (2)
D(E_F) in states/eV/cell: 6.58


The following is a PBE calculation of a relaxed structure of Na2SrSO4, from Alexandria via LeMat-Bulk.

Geometry as extended XYZ:
```
8
Lattice="5.235 0.073 0.111 -2.165 4.767 -0.111 -2.165 -2.020 4.319" Properties=species:S:1:pos:R:3 pbc="T T T"
O -0.837 1.998 3.074
O 1.732 0.828 1.255
Na 0.000 0.000 0.000
Sr 0.453 -0.287 3.267
O -2.154 2.845 1.141
O 3.070 -0.033 3.168
S -2.165 1.373 2.104
Na 0.453 3.106 1.052
```

Computed properties:
Space-group type: I-4 (82)
D(E_F) in states/eV/cell: 3.57


The following is a PBE calculation of a relaxed structure of NaSrS2O8, from Alexandria via LeMat-Bulk.

Geometry as extended XYZ:
```
12
Lattice="5.312 0.000 0.000 -2.656 4.600 0.000 0.000 0.000 7.603" Properties=species:S:1:pos:R:3 pbc="T T T"
S 2.656 1.533 1.596
O 3.869 0.832 2.092
O 2.656 1.533 0.106
O 2.657 2.935 2.092
O -0.001 1.665 5.510
S 0.000 3.067 6.007
O -1.214 3.769 5.510
Sr 0.000 0.000 0.000
Na 0.000 0.000 3.801
O 1.215 3.767 5.510
O 1.441 0.833 2.092
O 0.000 3.067 7.497
```

Computed properties:
Space-group type: P-3m1 (164)
D(E_F) in states/eV/cell: 8.89


The following is a PBE calculation of a relaxed structure of NaSrS2O6, from Alexandria via LeMat-Bulk.

Geometry as extended XYZ:
```
10
Lattice="-2.693 4.725 -0.156 -1.804 1.948 -4.750 -6.664 -0.694 -0.870" Properties=species:S:1:pos:R:3 pbc="T T T"
S -3.216 1.254 -1.381
O -5.997 0.553 -3.031
O -4.138 3.044 -4.899
S -7.945 4.725 -4.395
Na -5.581 2.989 -2.888
O -7.024 2.935 -0.877
O -3.477 2.738 -1.607
O -5.165 5.426 -2.745
O -7.684 3.241 -4.169
Sr 0.000 0.000 0.000
```

Computed properties:
Space-group type: R-3 (148)
D(E_F) in states/eV/cell: 3.54


The following is a PBE calculation of a relaxed structure of NaSrSO4, from Alexandria via LeMat-Bulk.

Geometry as extended XYZ:
```
14
Lattice="6.332 0.000 0.000 3.166 5.907 -0.277 3.166 1.536 5.711" Properties=species:S:1:pos:R:3 pbc="T T T"
S 6.332 3.861 0.524
O 9.498 5.449 4.744
O 7.557 4.583 1.051
Sr 3.166 3.722 2.717
O 6.332 4.986 4.406
Na 1.583 0.768 2.856
S 6.332 3.582 4.910
Sr 0.000 0.000 0.000
O 3.166 1.994 0.690
Na 4.749 0.768 2.856
O 6.332 2.457 1.028
O 7.557 2.860 4.383
O 5.107 4.583 1.051
O 5.107 2.860 4.383
```

Computed properties:
Space-group type: Imma (74)
D(E_F) in states/eV/cell: 0.85


The following is a PBE calculation of a relaxed structure of NaTaSO2, from Alexandria via LeMat-Bulk.

Geometry as extended XYZ:
```
5
Lattice="3.951 0.000 0.000 0.000 3.951 0.000 0.000 0.000 5.010" Properties=species:S:1:pos:R:3 pbc="T T T"
S 0.000 0.000 2.505
Na 1.975 1.975 2.505
O 0.000 1.975 0.000
O 1.975 0.000 0.000
Ta 0.000 0.000 0.000
```

Computed properties:
Space-group type: P4/mmm (123)


The following is a PBE calculation of a relaxed structure of NaTaS2O8, from Alexandria via LeMat-Bulk.

Geometry as extended XYZ:
```
12
Lattice="5.230 0.000 0.000 -2.615 4.529 0.000 0.000 0.000 7.055" Properties=species:S:1:pos:R:3 pbc="T T T"
O 3.835 0.805 1.365
O 2.615 2.919 1.365
S 2.615 1.510 1.878
S 0.000 3.019 5.177
Ta 0.000 0.000 0.000
O -1.220 3.724 5.689
O 1.220 3.724 5.689
Na 0.000 0.000 3.527
O 2.615 1.510 3.324
O 1.395 0.805 1.365
O 0.000 1.611 5.689
O 0.000 3.019 3.731
```

Computed properties:
Space-group type: P-3m1 (164)
D(E_F) in states/eV/cell: 1.90


The following is a PBE calculation of a relaxed structure of Na2TbSO6, from Alexandria via LeMat-Bulk.

Geometry as extended XYZ:
```
10
Lattice="-4.960 2.259 -1.469 -1.183 -4.661 -3.175 -1.559 0.181 5.544" Properties=species:S:1:pos:R:3 pbc="T T T"
O -4.682 1.273 -0.124
Na -1.631 -1.343 2.580
Na -6.071 -0.878 -1.678
O -2.103 -3.600 -2.234
O -6.294 -1.361 1.269
O -3.020 -3.494 1.025
O -5.599 1.379 3.135
Tb -2.480 1.129 -0.734
S 0.000 0.000 0.000
O -1.408 -0.860 -0.368
```

Computed properties:
Space-group type: P-3m1 (164)
D(E_F) in states/eV/cell: 1.06


The following is a PBE calculation of a relaxed structure of NaTbSO, from Alexandria via LeMat-Bulk.

Geometry as extended XYZ:
```
4
Lattice="-3.128 0.681 1.879 -1.470 -2.627 2.172 1.825 1.461 6.174" Properties=species:S:1:pos:R:3 pbc="T T T"
Tb -4.457 -1.858 4.254
O -0.880 -0.239 2.288
Na -1.397 -0.250 5.097
S -2.023 -0.329 7.750
```

Computed properties:
Space-group type: R3m (160)
D(E_F) in states/eV/cell: 0.00


The following is a PBE calculation of a relaxed structure of NaTeS2O8, from Alexandria via LeMat-Bulk.

Geometry as extended XYZ:
```
12
Lattice="4.954 0.000 0.000 -2.477 4.290 0.000 0.000 0.000 8.252" Properties=species:S:1:pos:R:3 pbc="T T T"
O 3.340 0.300 2.457
O 1.410 3.042 5.795
O 1.067 1.248 2.457
S 0.000 2.860 6.304
O 2.477 1.430 0.491
O 0.000 2.860 7.761
Te 0.000 0.000 4.126
Na 0.000 0.000 0.000
O -0.548 1.548 5.795
O 3.025 2.743 2.457
O -0.863 3.991 5.795
S 2.477 1.430 1.948
```

Computed properties:
Space-group type: P-3 (147)
D(E_F) in states/eV/cell: 5.26


Formation energy from raw total energies
In order: -3.1136, -1.4008, -1.0662, -1.4382, -1.7786, -1.7543, -1.6768, -2.0469, -1.5094, -1.5833, -2.2313, -1.1597
Unit: eV/atom
Total energy
In order: -7.9608, -5.8376, -5.1993, -4.9732, -6.0220, -5.8548, -5.5284, -7.4901, -6.6004, -5.6978, -5.9900, -5.5248
Unit: eV per atom